# 1
Below is MgGeMoW after structural relaxation, with properties calculated at the PBE level.

a b c (Å): 4.4697 4.4697 4.4697
angles (deg): 60.00 60.00 60.00
With the nearest neighbours (Å) after each atom.
Sites, in units of the cell vectors:
1 Ge 0.2500 0.2500 0.2500  4 W 2.74, 4 Mo 2.74
2 Mo 0.0000 0.0000 0.0000  4 Mg 2.74, 4 Ge 2.74
3 Mg 0.7500 0.7500 0.7500  4 Mo 2.74, 4 W 2.74
4 W 0.5000 0.5000 0.5000  4 Ge 2.74, 4 Mg 2.74

For the energy above the most stable polymorph in this dataset, the calculation gives 387 meV per atom. Its crystal system is cubic. The spin magnetization comes out at 0.04 μB per formula unit. As for the final energy: -6.8853 eV/atom.

=====

# 2
Below is DyYAsO after structural relaxation, with properties calculated at the PBE level.

a b c (Å): 4.3435 4.3435 8.7575
angles (deg): 90.00 90.00 90.00
With the nearest neighbours (Å) after each atom.
Sites, in units of the cell vectors:
1 O 0.0000 0.0000 0.0000  4 Dy 2.34
2 O 0.5000 0.5000 0.0000  4 Dy 2.34
3 Dy 0.0000 0.5000 0.9017  4 O 2.34
4 Dy 0.5000 0.0000 0.0982  4 O 2.34
5 As 0.0000 0.5000 0.2936  4 Y 2.83
6 As 0.5000 0.0000 0.7064  4 Y 2.83
7 Y 0.0000 0.0000 0.5000  4 As 2.83, 4 Y 3.07
8 Y 0.5000 0.5000 0.5000  4 As 2.83, 4 Y 3.07

For the energy above the most stable polymorph in this dataset, the calculation gives 76 meV per atom. Its crystal system is tetragonal. The spin magnetization comes out at 0.01 μB per formula unit. As for the final energy: -7.0604 eV/atom.

=====

# 3
Below is SrNb2Hg after structural relaxation, with properties calculated at the PBE level.

a b c (Å): 5.0153 5.0153 5.0153
angles (deg): 60.00 60.00 60.00
With the nearest neighbours (Å) after each atom.
Sites, in units of the cell vectors:
1 Nb 0.2500 0.2500 0.2500  4 Hg 3.07, 4 Nb 3.07
2 Nb 0.0000 0.0000 0.0000  4 Sr 3.07, 4 Nb 3.07
3 Hg 0.5000 0.5000 0.5000  4 Sr 3.07, 4 Nb 3.07
4 Sr 0.7500 0.7500 0.7500  4 Hg 3.07, 4 Nb 3.07

Its crystal system is cubic. The spin magnetization comes out at 0.00 μB per formula unit. As for the final energy: -4.9189 eV/atom.